Entry 1:
Entry from Alexandria: a relaxed CsPm2AgBr8 crystal (GGA-PBE).

Values from the calculation:
- Symmetry: P-1 (2)
- Total energy: -3.7895 eV per atom
- DOS(E_F): 0.0 states/eV per cell

Cell lengths 7.7915, 8.7860, 8.8731 Å; angles 93.84, 115.56, 95.48 degrees
Closest atoms and distances in Å follow each position.
Fractional positions:
Cs (0.0000, 0.0000, 0.0000)  6 Br 3.52-3.73
Pm (0.4909, 0.2561, 0.5242)  6 Br 2.74-2.99
Pm (0.5091, 0.7439, 0.4758)  6 Br 2.74-2.99
Ag (0.0000, 0.5000, 0.0000)  2 Br 2.52
Br (0.0863, 0.6889, 0.2560)  1 Ag 2.52
Br (0.0970, 0.2232, 0.3794)  1 Pm 2.74
Br (0.4809, 0.9873, 0.7061)  2 Pm 2.95-2.96
Br (0.4901, 0.5412, 0.7162)  2 Pm 2.91-2.93
Br (0.5099, 0.4588, 0.2838)  2 Pm 2.91-2.93
Br (0.5191, 0.0127, 0.2939)  2 Pm 2.95-2.96
Br (0.9030, 0.7768, 0.6206)  1 Pm 2.74
Br (0.9137, 0.3111, 0.7440)  1 Ag 2.52

---

Entry 2:
Entry from Alexandria: a relaxed Cs3PmAg2Br8 crystal (GGA-PBE).

Values from the calculation:
- Symmetry: P-3m1 (164)
- Total energy: -3.2719 eV per atom
- DOS(E_F): 0.0 states/eV per cell

Cell lengths 8.0368, 8.0368, 10.6105 Å; angles 90.00, 90.00, 120.00 degrees
Closest atoms and distances in Å follow each position.
Fractional positions:
Cs (0.0000, 0.0000, 0.0000)  12 Br 4.27-4.67
Cs (0.3333, 0.6667, 0.6298)  1 Br 3.44
Cs (0.6667, 0.3333, 0.3702)  1 Br 3.44
Pm (0.0000, 0.0000, 0.5000)  6 Br 2.87
Ag (0.3333, 0.6667, 0.1920)  4 Br 2.53-2.81
Ag (0.6667, 0.3333, 0.8080)  4 Br 2.53-2.81
Br (0.1653, 0.3306, 0.3388)  1 Ag 2.81, 1 Pm 2.87
Br (0.1653, 0.8347, 0.3388)  1 Ag 2.81, 1 Pm 2.87
Br (0.3306, 0.1653, 0.6612)  1 Ag 2.81, 1 Pm 2.87
Br (0.3333, 0.6667, 0.9536)  1 Ag 2.53
Br (0.6667, 0.3333, 0.0464)  1 Ag 2.53
Br (0.6694, 0.8347, 0.3388)  1 Ag 2.81, 1 Pm 2.87
Br (0.8347, 0.1653, 0.6612)  1 Ag 2.81, 1 Pm 2.87
Br (0.8347, 0.6694, 0.6612)  1 Ag 2.81, 1 Pm 2.87

---

Entry 3:
Entry from Alexandria: a relaxed Cs2PrAg2Br6 crystal (GGA-PBE).

Values from the calculation:
- Symmetry: C2/m (12)
- Total energy: -3.2863 eV per atom
- DOS(E_F): 2.1 states/eV per cell

Cell lengths 8.1796, 8.1796, 9.2727 Å; angles 116.88, 116.88, 61.15 degrees
Closest atoms and distances in Å follow each position.
Fractional positions:
Cs (0.2120, 0.2120, 0.1792)  5 Br 3.63-3.80
Cs (0.7880, 0.7880, 0.8208)  5 Br 3.63-3.80
Pr (0.0000, 0.0000, 0.5000)  6 Br 2.92-2.94
Ag (0.4555, 0.4555, 0.8290)  1 Ag 2.73, 3 Br 2.76-2.84
Ag (0.5445, 0.5445, 0.1710)  1 Ag 2.73, 3 Br 2.76-2.84
Br (0.1793, 0.7030, 0.2313)  1 Ag 2.84, 1 Pr 2.94
Br (0.2312, 0.2312, 0.5849)  1 Ag 2.76, 1 Pr 2.92
Br (0.2970, 0.8207, 0.7687)  1 Ag 2.84, 1 Pr 2.94
Br (0.7030, 0.1793, 0.2313)  1 Ag 2.84, 1 Pr 2.94
Br (0.7688, 0.7688, 0.4151)  1 Ag 2.76, 1 Pr 2.92
Br (0.8207, 0.2970, 0.7687)  1 Ag 2.84, 1 Pr 2.94

---

Number 1: ΔE_f (raw) -18.9 eV/f.u.. Number 2: ΔE_f (raw) -19.4 eV/f.u.. Number 3: ΔE_f (raw) -13.9 eV/f.u..